No. 1
# CuAs2Se

An optimized crystal structure of CuAs2Se (GGA-PBE, the Alexandria database).

Cell and atoms, written as POSCAR:
```
CuAs2Se
1.0
-2.5253 -1.4147 1.2221
-1.7948 -0.5842 -4.3850
2.1974 -4.2146 -0.3379
Cu As Se
1 2 1
direct
0.5000 0.0000 0.5000
0.5000 0.5000 0.0000
0.0000 0.0000 0.0000
0.0000 0.5000 0.5000
```

Results
Symmetry: Pmmm (47)
Formation energy without anion corrections in eV per atom: 0.421


No. 2
# LiTiI2

An optimized crystal structure of LiTiI2 (GGA-PBE, the Alexandria database).

Cell and atoms, written as POSCAR:
```
LiTiI2
1.0
-3.9545 1.1394 5.1442
-2.5787 -6.0274 -0.6473
1.0160 -4.6831 6.0366
I Ti Li
4 2 2
direct
0.6145 0.1250 0.2500
0.8750 0.8645 0.7500
0.3750 0.3855 0.7500
0.1355 0.6250 0.2500
0.7500 0.2500 0.5000
0.0000 0.0000 0.0000
0.5000 0.5000 0.0000
0.2500 0.7500 0.5000
```

Results
Polymorph energy (0 for the lowest one) in eV/atom: 0.000
Symmetry: I-42d (122)
Formation energy without anion corrections in eV per atom: -0.364


No. 3
# Cs3Li2LaCl9

An optimized crystal structure of Cs3Li2LaCl9 (GGA-PBE, the Alexandria database).

Cell and atoms, written as POSCAR:
```
Cs3Li2LaCl9
1.0
7.5103 0.0000 0.0000
-3.7552 6.5041 0.0000
0.0000 0.0000 9.4214
Cl Li La Cs
9 2 1 3
direct
0.5000 0.5000 0.0000
0.1720 0.3439 0.3262
0.8280 0.1720 0.6738
0.6561 0.8280 0.3262
0.3439 0.1720 0.6738
0.8280 0.6561 0.6738
0.5000 0.0000 0.0000
0.0000 0.5000 0.0000
0.1720 0.8280 0.3262
0.6667 0.3333 0.8446
0.3333 0.6667 0.1554
0.0000 0.0000 0.5000
0.3333 0.6667 0.6811
0.6667 0.3333 0.3189
0.0000 0.0000 0.0000
```

Results
Symmetry: P-3m1 (164)
Formation energy without anion corrections in eV per atom: -1.879


No. 4
# K2SbP

An optimized crystal structure of K2SbP (GGA-PBE, the Alexandria database).

Cell and atoms, written as POSCAR:
```
K2SbP
1.0
5.2255 0.0000 0.0000
0.0000 3.3576 0.0078
0.0000 3.3414 6.2960
Sb K P
1 2 1
direct
0.5000 0.7500 0.7500
0.0000 0.9866 0.0134
0.0000 0.5134 0.4866
0.5000 0.2500 0.2500
```

Results
Polymorph energy (0 for the lowest one) in eV/atom: 0.297
Symmetry: Pmmm (47)
Formation energy without anion corrections in eV per atom: -0.048


No. 5
# HfSiW3

An optimized crystal structure of HfSiW3 (GGA-PBE, the Alexandria database).

Cell and atoms, written as POSCAR:
```
HfSiW3
1.0
-3.6995 2.4143 -1.0053
-1.4823 -0.5011 4.2517
2.1545 3.8008 1.1991
Si Hf W
1 1 3
direct
0.0000 0.0000 0.0000
0.5000 0.5000 0.5000
0.0000 0.5000 0.0000
0.0000 0.0000 0.5000
0.5000 0.0000 0.0000
```

Results
Polymorph energy (0 for the lowest one) in eV/atom: 0.000
Symmetry: Pm-3m (221)
Formation energy without anion corrections in eV per atom: 0.875


No. 6
# BaNa3Zn

An optimized crystal structure of BaNa3Zn (GGA-PBE, the Alexandria database).

Cell and atoms, written as POSCAR:
```
BaNa3Zn
1.0
-1.1252 2.3575 5.2017
-4.1699 -3.9617 0.8935
3.9022 -3.5537 2.4547
Zn Na Ba
1 3 1
direct
0.0000 0.0000 0.0000
0.0000 0.5000 0.0000
0.5000 0.0000 0.0000
0.0000 0.0000 0.5000
0.5000 0.5000 0.5000
```

Results
Polymorph energy (0 for the lowest one) in eV/atom: 0.000
Energy of formation from the pure elements in eV/atom: 0.115
Symmetry: Pm-3m (221)


No. 7
# Tl2TeI5

An optimized crystal structure of Tl2TeI5 (GGA-PBE, the Alexandria database).

Cell and atoms, written as POSCAR:
```
Tl2TeI5
1.0
8.5061 -0.1590 0.3317
-0.1605 8.5059 0.3288
-3.9389 -3.9369 5.6046
I Tl Te
5 2 1
direct
0.2765 0.7928 0.0471
0.8602 0.8602 0.2056
0.6947 0.6947 0.5088
0.2408 0.2408 0.9674
0.7926 0.2763 0.0468
0.2404 0.6519 0.3671
0.6520 0.2405 0.3672
0.0198 0.0198 0.0439
```

Results
Polymorph energy (0 for the lowest one) in eV/atom: 0.055
Symmetry: Cm (8)
Formation energy without anion corrections in eV per atom: -0.307


No. 8
# TlSi2H

An optimized crystal structure of TlSi2H (GGA-PBE, the Alexandria database).

Cell and atoms, written as POSCAR:
```
TlSi2H
1.0
-4.8690 -0.0478 0.7817
-0.3062 -4.4144 -2.1771
-1.7042 -4.9250 4.6403
Tl Si H
2 4 2
direct
0.0000 0.0000 0.0000
0.7500 0.2500 0.5000
0.3732 0.1250 0.2500
0.3768 0.6250 0.2500
0.3750 0.6268 0.7500
0.8750 0.6232 0.7500
0.2500 0.7500 0.5000
0.5000 0.5000 0.0000
```

Results
Polymorph energy (0 for the lowest one) in eV/atom: 0.000
Symmetry: I-42d (122)


Values for V, Å³ per cell, ordered as above
71; 266; 460; 110; 93; 197; 428; 147
Values for DFT total energy, eV for the cell shown, ordered as above
-15.2; -28.7; -56.1; -11.9; -49.9; -6.6; -18.1; -28.1